1.
This record from Alexandria describes an optimized crystal structure of SrEuDyCrO6. The functional is PBE+U.

a b c (Å): 5.7752 5.7752 5.7752
angles (deg): 60.00 60.00 60.00
With the nearest neighbours (Å) after each atom.
Atoms (fractional coordinates):
Sr (0.0000, 0.0000, 0.0000)  12 O 2.89
Eu (0.5000, 0.5000, 0.5000)  12 O 2.89
Dy (0.2500, 0.2500, 0.2500)  6 O 2.18
Cr (0.7500, 0.7500, 0.7500)  6 O 1.90
O (0.5173, 0.5173, 0.9827)  1 Cr 1.90
O (0.5173, 0.9827, 0.5173)  1 Cr 1.90
O (0.5173, 0.9827, 0.9827)  1 Cr 1.90
O (0.9827, 0.5173, 0.5173)  1 Cr 1.90
O (0.9827, 0.5173, 0.9827)  1 Cr 1.90
O (0.9827, 0.9827, 0.5173)  1 Cr 1.90

Values from the calculation:
* V: 136 Å³ per cell
* DFT total energy: -78.9 eV for the cell shown
* DOS at the Fermi energy: 8.5 states/eV/cell
* SG: F-43m, No. 216


2.
This record from Alexandria describes an optimized crystal structure of DyCr2F8. The functional is PBE+U.

a b c (Å): 6.1110 6.1110 4.3828
angles (deg): 92.17 92.17 72.32
With the nearest neighbours (Å) after each atom.
Atoms (fractional coordinates):
Dy (0.0000, 0.0000, 0.0000)  6 F 2.18-2.20
Cr (0.3812, 0.3812, 0.7397)  4 F 1.95-2.04
Cr (0.6188, 0.6188, 0.2603)  4 F 1.95-2.04
F (0.1223, 0.6668, 0.7527)  1 Cr 1.97, 1 Dy 2.20
F (0.1833, 0.1833, 0.7396)  1 Cr 1.95, 1 Dy 2.18
F (0.3332, 0.8777, 0.2473)  1 Cr 1.97, 1 Dy 2.20
F (0.4121, 0.4121, 0.2449)  3 Cr 2.04-2.22
F (0.5879, 0.5879, 0.7551)  3 Cr 2.04-2.22
F (0.6668, 0.1223, 0.7527)  1 Cr 1.97, 1 Dy 2.20
F (0.8167, 0.8167, 0.2604)  1 Cr 1.95, 1 Dy 2.18
F (0.8777, 0.3332, 0.2473)  1 Cr 1.97, 1 Dy 2.20

Values from the calculation:
* V: 156 Å³ per cell
* DFT total energy: -68.9 eV for the cell shown
* DOS at the Fermi energy: 2.5 states/eV/cell
* energy relative to the lowest polymorph listed for this composition: 0.0 meV per atom
* SG: C2/m, No. 12


Question: Which of these has the lowest DOS at the Fermi energy?
Answer: DyCr2F8


Question: What is the formula in the second record?
Answer: DyCr2F8


Please write out number 1 again, unchanged.
This record from Alexandria describes an optimized crystal structure of SrEuDyCrO6. The functional is PBE+U.

a b c (Å): 5.7752 5.7752 5.7752
angles (deg): 60.00 60.00 60.00
With the nearest neighbours (Å) after each atom.
Atoms (fractional coordinates):
Sr (0.0000, 0.0000, 0.0000)  12 O 2.89
Eu (0.5000, 0.5000, 0.5000)  12 O 2.89
Dy (0.2500, 0.2500, 0.2500)  6 O 2.18
Cr (0.7500, 0.7500, 0.7500)  6 O 1.90
O (0.5173, 0.5173, 0.9827)  1 Cr 1.90
O (0.5173, 0.9827, 0.5173)  1 Cr 1.90
O (0.5173, 0.9827, 0.9827)  1 Cr 1.90
O (0.9827, 0.5173, 0.5173)  1 Cr 1.90
O (0.9827, 0.5173, 0.9827)  1 Cr 1.90
O (0.9827, 0.9827, 0.5173)  1 Cr 1.90

Values from the calculation:
* V: 136 Å³ per cell
* DFT total energy: -78.9 eV for the cell shown
* DOS at the Fermi energy: 8.5 states/eV/cell
* SG: F-43m, No. 216